First-principles (PBE-GGA) data for a relaxed KCoTe2 crystal, as listed in the Alexandria database.

abc: 3.829 3.347 9.038
angles: 90.00 90.00 90.00
Fractional positions:
1 Co 0.000 0.000 0.308
2 Te 0.000 0.000 0.027
3 Te 0.500 0.500 0.393
4 K 0.500 0.500 0.772

## Properties
space-group type	Pmm2, No. 25
formation energy (no corrections)	-0.1110	eV/atom

=====

First-principles (PBE-GGA) data for a relaxed CoTcOs2 crystal, as listed in the Alexandria database.

abc: 4.267 4.267 4.267
angles: 60.00 60.00 60.00
Fractional positions:
1 Co 0.000 0.000 0.000
2 Os 0.250 0.250 0.250
3 Os 0.750 0.750 0.750
4 Tc 0.500 0.500 0.500

## Properties
excess energy over the best structure of this formula in the dataset	370	meV per atom
space-group type	Fm-3m, No. 225
formation energy from the elements	0.470	eV per atom

=====

First-principles (PBE-GGA) data for a relaxed PrNd14Cd crystal, as listed in the Alexandria database.

abc: 7.267 7.267 10.352
angles: 90.00 90.00 90.00
Fractional positions:
1 Nd 0.375 0.625 0.500
2 Nd 0.622 0.872 0.246
3 Nd 0.128 0.872 0.246
4 Nd 0.128 0.378 0.754
5 Nd 0.622 0.872 0.754
6 Nd 0.875 0.625 0.500
7 Nd 0.622 0.378 0.754
8 Nd 0.622 0.378 0.246
9 Nd 0.875 0.125 0.500
10 Nd 0.874 0.625 0.000
11 Nd 0.128 0.378 0.246
12 Nd 0.375 0.126 0.000
13 Nd 0.128 0.872 0.754
14 Nd 0.375 0.125 0.500
15 Cd 0.375 0.625 0.000
16 Pr 0.875 0.125 0.000

## Properties
space-group type	Amm2, No. 38
formation energy from the elements	-0.015	eV per atom

=====

First-principles (PBE-GGA) data for a relaxed RbEr2Zr2O7 crystal, as listed in the Alexandria database.

abc: 4.344 4.492 9.737
angles: 103.34 102.89 90.00
Fractional positions:
1 Er 0.258 0.758 0.516
2 Er 0.742 0.242 0.484
3 O 0.621 0.121 0.242
4 O 0.267 0.267 0.533
5 O 0.870 0.370 0.739
6 O 0.130 0.630 0.261
7 O 0.379 0.879 0.758
8 O 0.500 0.500 0.000
9 O 0.733 0.733 0.467
10 Zr 0.390 0.390 0.780
11 Zr 0.610 0.610 0.220
12 Rb 0.000 0.000 0.000

## Properties
space-group type	Immm, No. 71
formation energy (no corrections)	-3.0151	eV/atom

=====

| no. | Fermi-level density of states (states/eV/cell) |
| --- | --- |
| 1 | 3.0 |
| 2 | 4.9 |
| 3 | 19.2 |
| 4 | 2.1 |